[1]
VASP calculation (PBE-GGA) on crystalline AgRhAu2 at its relaxed geometry.

Cell: 9.517 2.831 5.129 Å, 90.00 99.52 90.00°
Space group C2/m (No. 12)
One atom of each set of equivalent atoms:
1 Ag 0.000 0.000 0.000 (multiplicity 2)
2 Rh 0.000 0.500 0.500 (multiplicity 2)
3 Au 0.246 0.000 0.745 (multiplicity 4)

Summary:
Energy ... -4.04 eV per atom
N(E_F) ... 6.02 states/eV per cell

***

[2]
VASP calculation (PBE-GGA) on crystalline SrZr3Ga at its relaxed geometry.

Cell: 5.246 5.246 5.246 Å, 90.00 90.00 90.00°
Space group Pm-3m (No. 221)
One atom of each set of equivalent atoms:
1 Sr 0.000 0.000 0.000 (multiplicity 1)
2 Zr 0.000 0.500 0.500 (multiplicity 3)
3 Ga 0.500 0.500 0.500 (multiplicity 1)

Summary:
Energy ... -5.61 eV per atom
N(E_F) ... 6.73 states/eV per cell

***

[3]
VASP calculation (PBE-GGA) on crystalline ZnCr at its relaxed geometry.

Cell: 2.5935 2.5935 8.8866 Å, 90.00 90.00 120.00°
Space group P-3m1 (No. 164)
One atom of each set of equivalent atoms:
1 Zn 0.3333 0.6667 0.3694 (multiplicity 2)
2 Cr 0.3333 0.6667 0.8805 (multiplicity 2)

Summary:
Energy ... -5.19 eV per atom
N(E_F) ... 4.86 states/eV per cell

***

[4]
VASP calculation (PBE-GGA) on crystalline MnW2Br8 at its relaxed geometry.

Cell: 10.753 10.891 6.643 Å, 90.00 107.27 90.00°
Space group C2/m (No. 12)
One atom of each set of equivalent atoms:
1 Mn 0.000 0.000 0.000 (multiplicity 2)
2 W 0.108 0.000 0.614 (multiplicity 4)
3 Br 0.080 0.188 0.805 (multiplicity 8)
4 Br 0.147 0.500 0.141 (multiplicity 4)
5 Br 0.219 0.000 0.330 (multiplicity 4)

Summary:
E_form (uncorrected) ... -0.271 eV per atom
Energy ... -4.68 eV per atom
N(E_F) ... 6.02 states/eV per cell

***

[5]
VASP calculation (PBE-GGA) on crystalline BeReAg4 at its relaxed geometry.

Cell: 7.520 7.520 7.520 Å, 90.00 90.00 90.00°
Space group F-43m (No. 216)
One atom of each set of equivalent atoms:
1 Be 0.000 0.000 0.000 (multiplicity 4)
2 Re 0.250 0.250 0.750 (multiplicity 4)
3 Ag 0.125 0.125 0.375 (multiplicity 16)

Summary:
Energy ... -3.56 eV per atom
N(E_F) ... 8.95 states/eV per cell

***

[6]
VASP calculation (PBE-GGA) on crystalline FePdCl4 at its relaxed geometry.

Cell: 7.324 7.324 6.315 Å, 90.00 90.00 90.00°
Space group I-4 (No. 82)
One atom of each set of equivalent atoms:
1 Fe 0.000 0.000 0.000 (multiplicity 2)
2 Pd 0.000 0.500 0.250 (multiplicity 2)
3 Cl 0.132 0.203 0.218 (multiplicity 8)

Summary:
E_form (uncorrected) ... -0.593 eV per atom
Energy ... -4.10 eV per atom
N(E_F) ... 1.09 states/eV per cell

***

[7]
VASP calculation (PBE-GGA) on crystalline ReSn at its relaxed geometry.

Cell: 9.764 9.764 3.948 Å, 90.00 90.00 90.00°
Space group P4/m (No. 83)
One atom of each set of equivalent atoms:
1 Re 0.057 0.381 0.000 (multiplicity 4)
2 Re 0.109 0.585 0.500 (multiplicity 4)
3 Sn 0.139 0.806 0.000 (multiplicity 4)
4 Sn 0.286 0.368 0.500 (multiplicity 4)

Summary:
Energy ... -7.73 eV per atom
N(E_F) ... 10.18 states/eV per cell

***

[8]
VASP calculation (PBE-GGA) on crystalline AlInHg2Br4 at its relaxed geometry.

Cell: 6.626 6.700 7.847 Å, 90.83 100.60 114.09°
Space group P1 (No. 1)
One atom of each set of equivalent atoms:
1 Al 0.000 0.000 0.000 (multiplicity 1)
2 In 0.359 0.752 0.333 (multiplicity 1)
3 Hg 0.066 0.367 0.549 (multiplicity 1)
4 Hg 0.518 0.235 0.535 (multiplicity 1)
5 Br 0.014 0.352 0.020 (multiplicity 1)
6 Br 0.360 0.021 0.999 (multiplicity 1)
7 Br 0.748 0.797 0.750 (multiplicity 1)
8 Br 0.890 0.824 0.247 (multiplicity 1)

Summary:
E_form (uncorrected) ... -0.729 eV per atom
Energy ... -2.45 eV per atom
N(E_F) ... 0.00 states/eV per cell

***

[9]
VASP calculation (PBE-GGA) on crystalline NaCdBi at its relaxed geometry.

Cell: 5.0196 5.0196 7.9883 Å, 90.00 90.00 120.00°
Space group P6_3mc (No. 186)
One atom of each set of equivalent atoms:
1 Na 0.0000 0.0000 0.0000 (multiplicity 2)
2 Cd 0.3333 0.6667 0.3144 (multiplicity 2)
3 Bi 0.3333 0.6667 0.7043 (multiplicity 2)

Summary:
Energy ... -2.29 eV per atom
N(E_F) ... 0.46 states/eV per cell

***

[10]
VASP calculation (PBE-GGA) on crystalline LiAc2Eu at its relaxed geometry.

Cell: 4.008 4.008 9.559 Å, 90.00 90.00 90.00°
Space group P4/mmm (No. 123)
One atom of each set of equivalent atoms:
1 Li 0.000 0.000 0.000 (multiplicity 1)
2 Ac 0.500 0.500 0.212 (multiplicity 2)
3 Eu 0.000 0.000 0.500 (multiplicity 1)

Summary:
Energy ... -5.03 eV per atom
N(E_F) ... 6.09 states/eV per cell

***

| no. | V (A^3/atom) |
| --- | --- |
| 1 | 17.0 |
| 2 | 28.9 |
| 3 | 12.9 |
| 4 | 33.8 |
| 5 | 17.7 |
| 6 | 28.2 |
| 7 | 23.5 |
| 8 | 38.9 |
| 9 | 29.1 |
| 10 | 38.4 |